Material: KBe2Ag
Method: DFT, PBE
State: optimized geometry

The formation enthalpy at 0 K comes out at 1.075 eV/atom. The size of the total moment comes out at 0.001 μB/cell. As for the total energy: -1.776 eV per atom. Its density of states at the Fermi level is 2.22 states/eV/f.u.

The space group is Cmmm (No. 65) and the conventional cell measures 7.226, 7.297 and 2.744 Å, with angles of 90.00, 90.00 and 90.00 degrees. Symmetry generates all atoms from K at (0.000, 0.000, 0.000), Be at (0.250, 0.250, 0.500) and Ag at (0.000, 0.500, 0.000).